[1]
# BeIn5

BeIn5 after structural relaxation (GGA-PBE, Alexandria via LeMat-Bulk).

abc: 7.1549 7.1549 4.7687
angles: 90.00 90.00 143.41
Positions (direct):
1 Be 0.0000 0.0000 0.0000
2 In 0.1625 0.8375 0.5000
3 In 0.3511 0.6489 0.0000
4 In 0.5000 0.5000 0.5000
5 In 0.6489 0.3511 0.0000
6 In 0.8375 0.1625 0.5000

Results
- Formation energy from the elements: 293 meV per atom
- Density: 6.65 g/cm³
- SG: Cmmm
- Energy relative to the lowest polymorph listed for this composition: 0.098 eV/atom

[2]
# Tb5TmMg6

Tb5TmMg6 after structural relaxation (GGA-PBE, Alexandria via LeMat-Bulk).

abc: 5.3686 7.5601 8.4889
angles: 90.00 108.42 90.00
Positions (direct):
1 Tb 0.0000 0.0000 0.0000
2 Tb 0.3337 0.0000 0.6653
3 Tb 0.3355 0.5000 0.6688
4 Tb 0.6645 0.5000 0.3312
5 Tb 0.6663 0.0000 0.3347
6 Tm 0.0000 0.5000 0.0000
7 Mg 0.1645 0.2511 0.3324
8 Mg 0.1645 0.7489 0.3324
9 Mg 0.5000 0.2508 0.0000
10 Mg 0.5000 0.7492 0.0000
11 Mg 0.8355 0.2511 0.6676
12 Mg 0.8355 0.7489 0.6676

Results
- Formation energy from the elements: -81 meV per atom
- Density: 5.64 g/cm³
- SG: P2/m

[3]
# Li2NiGe3Pt4

Li2NiGe3Pt4 after structural relaxation (GGA-PBE, Alexandria via LeMat-Bulk).

abc: 3.9384 3.9384 11.1163
angles: 90.00 90.00 90.00
Positions (direct):
1 Li 0.0000 0.5000 0.2207
2 Li 0.5000 0.0000 0.7793
3 Ni 0.5000 0.5000 0.0000
4 Ge 0.0000 0.0000 0.0000
5 Ge 0.0000 0.5000 0.6423
6 Ge 0.5000 0.0000 0.3577
7 Pt 0.0000 0.0000 0.5000
8 Pt 0.0000 0.5000 0.8566
9 Pt 0.5000 0.0000 0.1434
10 Pt 0.5000 0.5000 0.5000

Results
- Formation energy from the elements: -451 meV per atom
- Density: 10.31 g/cm³
- SG: P-4m2

[4]
# Ga2Co2Ir

Ga2Co2Ir after structural relaxation (GGA-PBE, Alexandria via LeMat-Bulk).

abc: 6.8151 6.8151 2.7467
angles: 90.00 90.00 90.00
Positions (direct):
1 Ga 0.1383 0.3617 0.0000
2 Ga 0.3617 0.8617 0.0000
3 Ga 0.6383 0.1383 0.0000
4 Ga 0.8617 0.6383 0.0000
5 Co 0.1612 0.6612 0.5000
6 Co 0.3388 0.1612 0.5000
7 Co 0.6612 0.8388 0.5000
8 Co 0.8388 0.3388 0.5000
9 Ir 0.0000 0.0000 0.0000
10 Ir 0.5000 0.5000 0.0000

Results
- Formation energy from the elements: -83 meV per atom
- Density: 11.70 g/cm³
- SG: P4/mbm
- Energy relative to the lowest polymorph listed for this composition: 0.000 eV/atom

[5]
# ErInCu10

ErInCu10 after structural relaxation (GGA-PBE, Alexandria via LeMat-Bulk).

abc: 4.0953 4.9688 8.6199
angles: 90.00 90.00 90.00
Positions (direct):
1 Er 0.0000 0.0000 0.0000
2 In 0.0000 0.5000 0.5000
3 Cu 0.0000 0.0000 0.3403
4 Cu 0.0000 0.0000 0.6597
5 Cu 0.0000 0.5000 0.1746
6 Cu 0.0000 0.5000 0.8254
7 Cu 0.5000 0.0000 0.5000
8 Cu 0.5000 0.2464 0.2472
9 Cu 0.5000 0.2464 0.7528
10 Cu 0.5000 0.5000 0.0000
11 Cu 0.5000 0.7536 0.2472
12 Cu 0.5000 0.7536 0.7528

Results
- Formation energy from the elements: -76 meV per atom
- Density: 8.69 g/cm³
- SG: Pmmm

[6]
# DyErGaSe

DyErGaSe after structural relaxation (GGA-PBE, Alexandria via LeMat-Bulk).

abc: 7.6332 7.6332 7.6332
angles: 29.90 29.90 29.90
Positions (direct):
1 Dy 0.0000 0.0000 0.0000
2 Er 0.4975 0.4975 0.4975
3 Ga 0.2481 0.2481 0.2481
4 Se 0.7496 0.7496 0.7496

Results
- Density: 8.12 g/cm³
- E_form (uncorrected): -1160 meV per atom
- SG: R3m